VASP calculation (PBE) on a relaxed ZrTiMn2 crystal.

abc: 6.8431 6.8431 5.5863
angles: 52.23 52.23 90.00
With the nearest neighbours (Å) after each atom.
Positions (direct):
Mn (0.3750, 0.3937, 0.7500)  2 Ti 2.43, 2 Zr 2.61
Mn (0.8750, 0.8563, 0.7500)  2 Ti 2.43, 2 Zr 2.61
Mn (0.1437, 0.6250, 0.2500)  2 Ti 2.43, 2 Zr 2.61
Zr (0.7500, 0.2500, 0.5000)  4 Mn 2.61, 2 Ti 2.79
Ti (0.5000, 0.5000, 0.0000)  4 Mn 2.43
Mn (0.6063, 0.1250, 0.2500)  2 Ti 2.43, 2 Zr 2.61
Zr (0.0000, 0.0000, 0.0000)  4 Mn 2.61, 2 Ti 2.79
Ti (0.2500, 0.7500, 0.5000)  4 Mn 2.43

Calculated values
* calculated total energy: -66.570 eV for the cell shown

=====

VASP calculation (PBE) on a relaxed ZrTiMn2 crystal.

abc: 3.1018 3.1018 6.2233
angles: 90.00 90.00 90.00
With the nearest neighbours (Å) after each atom.
Positions (direct):
Zr (0.5000, 0.5000, 0.5000)  8 Mn 2.76
Mn (0.0000, 0.0000, 0.7693)  4 Ti 2.62, 4 Zr 2.76, 1 Mn 2.87
Mn (0.0000, 0.0000, 0.2307)  4 Ti 2.62, 4 Zr 2.76, 1 Mn 2.87
Ti (0.5000, 0.5000, 0.0000)  8 Mn 2.62

Calculated values
* calculated total energy: -35.188 eV for the cell shown

=====

VASP calculation (PBE) on a relaxed ZrTi3Mn crystal.

abc: 4.5275 4.5275 4.5275
angles: 90.00 90.00 90.00
With the nearest neighbours (Å) after each atom.
Positions (direct):
Ti (0.0000, 0.5000, 0.0000)  2 Mn 2.26
Ti (0.0000, 0.0000, 0.5000)  2 Mn 2.26
Ti (0.5000, 0.0000, 0.0000)  2 Mn 2.26
Mn (0.0000, 0.0000, 0.0000)  6 Ti 2.26
Zr (0.5000, 0.5000, 0.5000)  12 Ti 3.20

Calculated values
* E above lowest polymorph: 0.0000 eV/atom

=====

Total moment
In order: 5.97; 1.59; 0.00
Unit: Bohr magnetons per cell